First-principles (PBE) data for crystalline ScBe2As at its relaxed geometry, as listed in the Alexandria database.

Properties
As for the energy of formation: -17.4 kJ/mol of atoms. The total DFT energy (no corrections) is -19.156 eV/cell.

The structure in POSCAR format:
```
ScBe2As
1.0
-1.773 1.804 4.496
1.773 -1.804 4.496
1.773 1.804 -4.496
Sc Be As
1 2 1
direct
0.000 0.000 0.000 Sc
0.399 0.399 0.000 Be
0.758 0.258 0.500 Be
0.240 0.740 0.500 As
```

***

First-principles (PBE) data for crystalline CaTc2Ru at its relaxed geometry, as listed in the Alexandria database.

Properties
As for the energy of formation: 73.5 kJ/mol of atoms. The total DFT energy (no corrections) is -57.922 eV/cell. As for the distance to the lowest polymorph of the same formula: 400 meV per atom.

The structure in POSCAR format:
```
CaTc2Ru
1.0
-3.746 3.746 2.707
3.746 -3.746 2.707
3.746 3.746 -2.707
Ca Tc Ru
2 4 2
direct
0.000 0.000 0.000 Ca
0.750 0.250 0.500 Ca
0.184 0.625 0.059 Tc
0.375 0.434 0.559 Tc
0.566 0.125 0.941 Tc
0.875 0.816 0.441 Tc
0.250 0.750 0.500 Ru
0.500 0.500 0.000 Ru
```

***

First-principles (PBE) data for crystalline AcNiI at its relaxed geometry, as listed in the Alexandria database.

Properties
The total DFT energy (no corrections) is -26.330 eV/cell. As for the distance to the lowest polymorph of the same formula: 285 meV per atom. The formation energy (no corrections) is -0.575 eV/atom.

The structure in POSCAR format:
```
AcNiI
1.0
4.116 0.000 0.000
2.054 5.929 0.000
2.047 0.584 7.065
Ac Ni I
2 2 2
direct
0.058 0.209 0.176 Ac
0.942 0.791 0.824 Ac
0.375 0.655 0.093 Ni
0.625 0.345 0.907 Ni
0.301 0.252 0.643 I
0.699 0.748 0.357 I
```

***

First-principles (PBE) data for crystalline Ru2W at its relaxed geometry, as listed in the Alexandria database.

Properties
As for the energy of formation: 8.9 kJ/mol of atoms. The total DFT energy (no corrections) is -62.457 eV/cell.

The structure in POSCAR format:
```
Ru2W
1.0
1.379 -7.257 0.000
1.379 7.257 0.000
0.000 0.000 4.412
Ru W
4 2
direct
0.053 0.947 0.750 Ru
0.391 0.609 0.750 Ru
0.609 0.391 0.250 Ru
0.947 0.053 0.250 Ru
0.284 0.716 0.250 W
0.716 0.284 0.750 W
```

***

First-principles (PBE) data for crystalline KZr3Rh at its relaxed geometry, as listed in the Alexandria database.

Properties
As for the energy of formation: 43.0 kJ/mol of atoms. The total DFT energy (no corrections) is -31.867 eV/cell. As for the distance to the lowest polymorph of the same formula: 0 meV per atom.

The structure in POSCAR format:
```
KZr3Rh
1.0
5.192 0.000 0.000
0.000 5.192 0.000
0.000 0.000 5.192
K Zr Rh
1 3 1
direct
0.000 0.000 0.000 K
0.000 0.500 0.500 Zr
0.500 0.000 0.500 Zr
0.500 0.500 0.000 Zr
0.500 0.500 0.500 Rh
```

***

First-principles (PBE) data for crystalline La2CdSe2 at its relaxed geometry, as listed in the Alexandria database.

Properties
The total DFT energy (no corrections) is -48.227 eV/cell. As for the distance to the lowest polymorph of the same formula: 84 meV per atom. The formation energy (no corrections) is -1.275 eV/atom.

The structure in POSCAR format:
```
La2CdSe2
1.0
8.520 0.000 0.000
0.000 8.520 0.000
0.000 0.000 3.881
La Cd Se
4 2 4
direct
0.154 0.346 0.000 La
0.346 0.846 0.000 La
0.654 0.154 0.000 La
0.846 0.654 0.000 La
0.000 0.000 0.000 Cd
0.500 0.500 0.000 Cd
0.145 0.645 0.500 Se
0.355 0.145 0.500 Se
0.645 0.855 0.500 Se
0.855 0.355 0.500 Se
```

***

Which value of total DFT energy (no corrections) does entry 6 give? -48.227 eV/cell